1.
Material: Ac2YHg
Method: DFT, GGA-PBE
State: optimized geometry

The structure in extended XYZ format:
```
4
Lattice="3.805 0.000 0.000 1.902 3.295 0.000 1.902 1.098 12.816" Properties=species:S:1:pos:R:3 pbc="T T T"
Hg 0.000 0.000 0.000
Ac 5.707 3.295 3.417
Y 3.805 2.197 6.408
Ac 1.902 1.098 9.399
```

Computed properties:
Relative energy among the computed polymorphs: 1.25 eV/f.u.
Energy: -3.631 eV per atom
Calculated formation energy: 11 kJ/mol of atoms
M_tot: 0.00 μB/f.u.

2.
Material: Ac2YHg
Method: DFT, GGA-PBE
State: optimized geometry

The structure in extended XYZ format:
```
4
Lattice="-0.719 -0.430 3.842 0.853 -3.395 1.792 10.285 2.533 4.221" Properties=species:S:1:pos:R:3 pbc="T T T"
Y 5.226 -0.639 4.931
Ac 2.419 -0.392 2.421
Hg 10.365 -0.020 7.975
Ac 7.903 1.647 3.676
```

Computed properties:
Relative energy among the computed polymorphs: 0.34 eV/f.u.
Energy: -3.858 eV per atom
Calculated formation energy: -11 kJ/mol of atoms
M_tot: 0.00 μB/f.u.

3.
Material: AcY5Hg6
Method: DFT, GGA-PBE
State: optimized geometry

The structure in extended XYZ format:
```
12
Lattice="5.197 0.002 -1.086 -0.003 7.604 -0.001 -0.947 0.000 8.446" Properties=species:S:1:pos:R:3 pbc="T T T"
Hg 1.649 5.586 7.903
Y -0.002 3.802 0.000
Ac 0.000 0.000 0.000
Y 3.131 3.804 2.030
Hg 2.598 2.021 -0.543
Hg 0.569 1.998 2.751
Y 3.162 0.002 2.163
Hg 3.679 2.000 4.609
Y 1.088 0.001 5.197
Hg 0.567 5.607 2.750
Y 1.116 3.803 5.330
Hg 3.678 5.608 4.609
```

Computed properties:
Energy: -3.667 eV per atom
Calculated formation energy: -46 kJ/mol of atoms
M_tot: 0.31 μB/f.u.

4.
Material: AcY4Hg5
Method: DFT, GGA-PBE
State: optimized geometry

The structure in extended XYZ format:
```
10
Lattice="3.769 0.000 0.000 0.000 3.769 0.000 0.000 0.000 19.168" Properties=species:S:1:pos:R:3 pbc="T T T"
Hg 1.885 1.885 9.584
Hg 1.885 1.885 16.879
Y 0.000 0.000 4.052
Hg 1.885 1.885 13.269
Y 0.000 0.000 7.745
Y 0.000 0.000 15.116
Ac 0.000 0.000 0.000
Hg 1.885 1.885 2.289
Hg 1.885 1.885 5.899
Y 0.000 0.000 11.423
```

Computed properties:
Energy: -3.640 eV per atom
Calculated formation energy: -47 kJ/mol of atoms
M_tot: 0.38 μB/f.u.

5.
Material: AcYZnHg
Method: DFT, GGA-PBE
State: optimized geometry

The structure in extended XYZ format:
```
4
Lattice="3.770 0.000 0.000 0.000 3.770 0.000 0.000 0.000 7.800" Properties=species:S:1:pos:R:3 pbc="T T T"
Hg 0.000 0.000 6.407
Zn 0.000 0.000 3.052
Ac 1.885 1.885 0.945
Y 1.885 1.885 4.633
```

Computed properties:
Relative energy among the computed polymorphs: 0.00 eV/f.u.
Energy: -3.413 eV per atom
Calculated formation energy: -36 kJ/mol of atoms
M_tot: 0.00 μB/f.u.

6.
Material: AcYZnHg
Method: DFT, GGA-PBE
State: optimized geometry

The structure in extended XYZ format:
```
4
Lattice="5.438 0.000 0.000 2.719 4.709 0.000 2.719 1.570 4.440" Properties=species:S:1:pos:R:3 pbc="T T T"
Hg 5.438 3.140 2.220
Ac 8.157 4.709 3.330
Zn 0.000 0.000 0.000
Y 2.719 1.570 1.110
```

Computed properties:
Relative energy among the computed polymorphs: 0.19 eV/f.u.
Energy: -3.366 eV per atom
Calculated formation energy: -32 kJ/mol of atoms
M_tot: 0.56 μB/f.u.

7.
Material: Ac2Zn3Hg
Method: DFT, GGA-PBE
State: optimized geometry

The structure in extended XYZ format:
```
6
Lattice="3.921 0.000 0.000 0.000 4.849 0.000 0.000 0.000 8.331" Properties=species:S:1:pos:R:3 pbc="T T T"
Ac 0.000 0.000 4.214
Hg 1.961 2.424 2.776
Zn 1.961 0.000 1.299
Ac 0.000 2.424 8.293
Zn 1.961 0.000 6.946
Zn 1.961 2.424 5.632
```

Computed properties:
Relative energy among the computed polymorphs: 0.02 eV/f.u.
Energy: -2.395 eV per atom
Calculated formation energy: -33 kJ/mol of atoms
M_tot: 0.00 μB/f.u.

8.
Material: Ac4Zn2Hg5
Method: DFT, GGA-PBE
State: optimized geometry

The structure in extended XYZ format:
```
11
Lattice="4.081 0.000 0.000 0.000 8.315 0.663 0.000 -0.008 9.849" Properties=species:S:1:pos:R:3 pbc="T T T"
Hg 0.000 7.325 9.140
Zn 0.000 0.526 6.068
Ac 2.040 6.084 6.684
Hg 0.000 4.157 0.331
Ac 2.040 2.223 3.828
Hg 0.000 3.315 6.511
Zn 0.000 7.782 4.444
Hg 0.000 0.983 1.371
Ac 2.040 1.785 8.627
Ac 2.040 6.523 1.884
Hg 0.000 4.992 4.001
```

Computed properties:
Energy: -2.248 eV per atom
Calculated formation energy: -37 kJ/mol of atoms
M_tot: 0.00 μB/f.u.

9.
Material: AcZn2Hg8
Method: DFT, GGA-PBE
State: optimized geometry

The structure in extended XYZ format:
```
11
Lattice="-2.939 3.712 1.683 -2.164 -6.551 3.642 6.133 -0.504 4.796" Properties=species:S:1:pos:R:3 pbc="T T T"
Hg 1.772 -0.756 5.235
Hg -0.418 -3.514 7.737
Zn 3.929 -2.110 4.490
Ac -1.470 1.856 0.841
Hg 2.036 -1.725 8.079
Hg -0.743 -2.589 4.885
Zn 0.040 -4.946 3.948
Hg 2.145 -4.066 5.884
Hg -1.007 -1.619 2.042
Hg -1.115 0.721 4.237
Hg 1.447 0.170 2.384
```

Computed properties:
Energy: -0.909 eV per atom
Calculated formation energy: -8 kJ/mol of atoms
M_tot: 0.00 μB/f.u.

10.
Material: Ac2Zn3Hg2
Method: DFT, GGA-PBE
State: optimized geometry

The structure in extended XYZ format:
```
7
Lattice="-1.388 4.356 1.689 0.934 -4.145 4.428 6.142 2.699 -1.914" Properties=species:S:1:pos:R:3 pbc="T T T"
Ac 4.792 1.496 0.078
Zn -0.694 2.178 0.844
Zn 1.815 2.953 0.906
Hg 3.927 2.805 3.025
Zn 3.874 -0.044 3.297
Ac 0.897 1.413 4.125
Hg 1.762 0.104 1.178
```

Computed properties:
Relative energy among the computed polymorphs: 0.00 eV/f.u.
Energy: -2.147 eV per atom
Calculated formation energy: -33 kJ/mol of atoms
M_tot: 0.00 μB/f.u.

11.
Material: Ac2ZnHg3
Method: DFT, GGA-PBE
State: optimized geometry

The structure in extended XYZ format:
```
12
Lattice="-3.990 4.981 -0.100 -2.010 -3.388 5.021 8.390 3.624 2.680" Properties=species:S:1:pos:R:3 pbc="T T T"
Ac 0.700 4.701 2.520
Zn 3.594 2.947 3.428
Hg 1.855 1.522 1.770
Zn -1.204 2.269 4.174
Hg 0.535 3.695 5.832
Hg -2.547 3.565 2.117
Ac 1.690 0.516 5.081
Ac -1.460 0.388 1.198
Hg 4.937 1.652 5.485
Hg 3.988 5.668 3.027
Hg -1.597 -0.451 4.574
Ac -4.540 1.205 3.724
```

Computed properties:
Energy: -2.165 eV per atom
Calculated formation energy: -42 kJ/mol of atoms
M_tot: 0.00 μB/f.u.

12.
Material: Ac3Zn2Hg9
Method: DFT, GGA-PBE
State: optimized geometry

The structure in extended XYZ format:
```
14
Lattice="5.041 0.000 1.354 1.804 8.335 3.346 0.252 0.802 9.122" Properties=species:S:1:pos:R:3 pbc="T T T"
Ac 0.000 0.000 0.000
Hg 2.609 3.131 10.409
Ac 2.913 6.513 9.276
Hg 5.294 4.398 10.473
Hg 1.160 1.620 5.741
Hg 1.803 4.739 3.349
Zn 3.772 5.654 6.079
Hg 3.398 0.716 7.470
Zn 3.325 3.484 7.743
Hg 3.699 8.422 6.352
Hg 5.937 7.517 8.082
Hg 1.028 4.569 6.234
Hg 4.488 6.006 3.414
Ac 4.184 2.624 4.546
```

Computed properties:
Energy: -1.576 eV per atom
Calculated formation energy: -31 kJ/mol of atoms
M_tot: 0.00 μB/f.u.

Look up the calculated formation energy of the third one. -46 kJ/mol of atoms

What is the calculated formation energy in the eighth record? -37 kJ/mol of atoms